[1]
Computed, not measured: a relaxed structure of FeAsAu2 at the GGA-PBE level of DFT.

The formation energy from the elements comes out at 0.1890 eV per atom. The value obtained for the electronic total energy is -4.73 eV per atom. Its crystal system is tetragonal. As for the density: 12.67 g/cm3. The calculation puts the magnetic moment at 3.0 Bohr magnetons per cell.

POSCAR file:
```
FeAsAu2
1.0
2.843 0.000 0.000
0.000 2.843 0.000
0.000 0.000 8.507
Fe As Au
1 1 2
direct
0.000 0.000 0.000 Fe
0.000 0.000 0.500 As
0.500 0.500 0.222 Au
0.500 0.500 0.778 Au
```

=====

[2]
Computed, not measured: a relaxed structure of Ca2NiSnHg at the GGA-PBE level of DFT.

The formation energy from the elements comes out at -0.3576 eV per atom. The value obtained for the electronic total energy is -3.18 eV per atom. Its crystal system is tetragonal. As for the density: 5.37 g/cm3. The calculation puts the magnetic moment at 0.0 Bohr magnetons per cell.

POSCAR file:
```
Ca2NiSnHg
1.0
5.461 0.000 0.000
0.000 5.461 0.000
0.000 0.000 4.749
Ca Ni Sn Hg
2 1 1 1
direct
0.000 0.500 0.000 Ca
0.500 0.000 0.000 Ca
0.000 0.000 0.000 Ni
0.000 0.000 0.500 Sn
0.500 0.500 0.500 Hg
```